[1]
VASP calculation (PBE) on a relaxed structure of Na2CoBPt.

magnetic moment: 2.03 μB/f.u.
SG: P4/mmm (123)
formation enthalpy at 0 K: 3.3 eV per formula unit

Cell lengths 4.8779, 4.0134, 4.8779 Å; angles 90.00, 90.00, 90.00 degrees
Last column: nearest neighbours and their distance in Å.
Positions (direct):
Pt  0.0000  0.5000  0.0000  2 B 2.01
Na  0.0000  0.0000  0.5000  2 B 2.44
Na  0.5000  0.0000  0.0000  2 B 2.44
B  0.0000  0.0000  0.0000  2 Pt 2.01
Co  0.5000  0.5000  0.5000  8 Na 3.16, 4 Pt 3.45


[2]
VASP calculation (PBE) on a relaxed structure of Na2ScCoB.

magnetic moment: 0.00 μB/f.u.
SG: P4/mmm (123)
formation enthalpy at 0 K: 4.4 eV per formula unit

Cell lengths 5.0367, 3.8170, 5.0367 Å; angles 90.00, 90.00, 90.00 degrees
Last column: nearest neighbours and their distance in Å.
Positions (direct):
Na  0.0000  0.0000  0.5000  2 Co 2.52
Na  0.5000  0.0000  0.0000  2 Co 2.52
Sc  0.5000  0.5000  0.5000  8 Na 3.16
B  0.0000  0.5000  0.0000  2 Co 1.91
Co  0.0000  0.0000  0.0000  2 B 1.91


Question: Among the records above, which one has the lowest magnetic moment?
Answer: Na2ScCoB